Density functional theory data (PBE-GGA) for crystalline V3CrPt at its relaxed geometry.

Properties
For the spin magnetization, the calculation gives 0.00 μB per formula unit. The value obtained for the polymorph energy (0 for the lowest one) is 0.000 kcal/mol of atoms. As for the formation energy: 0.694 eV per atom. For the density of states at the Fermi level, the calculation gives 5.80 states/eV/cell. As for the symmetry: Pm-3m, No. 221.

```
V3CrPt
1.0
4.236 0.000 0.000
0.000 4.236 0.000
0.000 0.000 4.236
V Cr Pt
3 1 1
Direct
0.000 0.000 0.500 V
0.000 0.500 0.000 V
0.500 0.000 0.000 V
0.000 0.000 0.000 Cr
0.500 0.500 0.500 Pt
```